La2Sm2AlGe4, optimized geometry, DFT PBE-GGA; DFT formation energy = -3.5 eV/f.u.; size of the total moment = 0.00 Bohr magnetons per cell
1.0
-2.708 -5.606 -2.597
6.496 1.095 -1.449
0.616 0.154 6.716
La Sm Al Ge
2 2 1 4
direct
0.500 0.750 0.250
0.500 0.250 0.750
0.000 0.685 0.685
0.000 0.315 0.315
0.000 0.000 0.000
0.000 0.752 0.248
0.504 0.752 0.752
0.000 0.248 0.752
0.496 0.248 0.248



La2AlSnGe, optimized geometry, DFT PBE-GGA; DFT formation energy = -3.2 eV/f.u.; size of the total moment = 0.00 Bohr magnetons per cell
1.0
4.454 0.000 0.000
0.000 7.377 0.322
0.000 -2.795 8.821
La Al Sn Ge
4 2 2 2
direct
0.750 0.801 0.591
0.750 0.744 0.019
0.250 0.199 0.409
0.250 0.256 0.981
0.250 0.526 0.733
0.750 0.474 0.267
0.250 0.697 0.300
0.750 0.303 0.700
0.250 0.861 0.826
0.750 0.139 0.174



LaTbAl2Ge, optimized geometry, DFT PBE-GGA; DFT formation energy = -2.6 eV/f.u.; size of the total moment = 0.00 Bohr magnetons per cell
1.0
-1.113 1.837 -3.839
1.172 -3.788 -2.152
-5.813 -1.180 3.640
La Tb Al Ge
1 1 2 1
direct
0.442 0.442 0.883
0.198 0.698 0.397
0.680 0.180 0.360
0.047 0.047 0.095
0.845 0.845 0.689



LaAlTc2Ge, optimized geometry, DFT PBE-GGA; DFT formation energy = 4.1 eV/f.u.; size of the total moment = 1.65 Bohr magnetons per cell
1.0
4.683 0.000 0.000
0.000 5.411 0.000
0.000 0.000 4.683
Ge Al Tc La
1 1 2 1
direct
0.000 0.000 0.000
0.500 0.500 0.500
0.000 0.000 0.500
0.500 0.000 0.000
0.000 0.500 0.000



LaAlTcGe2, optimized geometry, DFT PBE-GGA; DFT formation energy = 0.4 eV/f.u.; size of the total moment = 0.00 Bohr magnetons per cell
1.0
-2.008 -1.777 -4.069
0.420 -4.909 1.937
-4.424 0.412 2.003
Ge Al Tc La
2 1 1 1
direct
0.000 0.000 0.500
0.500 0.000 0.000
0.500 0.500 0.500
0.000 0.000 0.000
0.000 0.500 0.000



LaTiAlGe2, optimized geometry, DFT PBE-GGA; DFT formation energy = -3.1 eV/f.u.; size of the total moment = 0.00 Bohr magnetons per cell
1.0
4.115 0.000 0.000
0.000 4.115 0.000
-2.058 -2.058 6.042
La Ti Al Ge
1 1 1 2
direct
0.000 0.000 0.000
0.250 0.750 0.500
0.750 0.250 0.500
0.614 0.614 0.228
0.386 0.386 0.772



LaTmAl2Ge, optimized geometry, DFT PBE-GGA; DFT formation energy = -2.7 eV/f.u.; size of the total moment = 0.00 Bohr magnetons per cell
1.0
-0.220 3.928 -1.918
-4.245 0.413 1.334
4.123 0.473 5.490
La Tm Al Ge
1 1 2 1
direct
0.442 0.442 0.884
0.198 0.698 0.395
0.683 0.183 0.366
0.048 0.048 0.096
0.842 0.842 0.683



LaAlVGe2, optimized geometry, DFT PBE-GGA; DFT formation energy = -2.1 eV/f.u.; size of the total moment = 1.76 Bohr magnetons per cell
1.0
-4.455 -2.954 2.474
3.674 -2.659 3.441
-0.642 4.366 4.058
La Al V Ge
2 2 2 4
direct
0.240 0.250 0.500
0.760 0.750 0.500
0.610 0.750 0.000
0.390 0.250 0.000
0.000 0.000 0.000
0.000 0.500 0.000
0.748 0.250 0.738
0.748 0.250 0.262
0.252 0.750 0.738
0.252 0.750 0.262



LaAl2VGe, optimized geometry, DFT PBE-GGA; DFT formation energy = -0.9 eV/f.u.; size of the total moment = 0.00 Bohr magnetons per cell
1.0
4.946 0.000 0.000
0.000 4.911 0.000
0.000 0.000 4.946
Ge V Al La
1 1 2 1
direct
0.000 0.500 0.000
0.000 0.000 0.000
0.000 0.000 0.500
0.500 0.000 0.000
0.500 0.500 0.500



LaAlV2Ge, optimized geometry, DFT PBE-GGA; DFT formation energy = 8.7 eV/f.u.; size of the total moment = 3.16 Bohr magnetons per cell
1.0
4.692 0.000 0.000
0.000 5.503 0.000
0.000 0.000 4.692
Ge V Al La
1 2 1 1
direct
0.500 0.500 0.500
0.000 0.000 0.500
0.500 0.000 0.000
0.000 0.500 0.000
0.000 0.000 0.000



LaYAlGe, optimized geometry, DFT PBE-GGA; DFT formation energy = -2.7 eV/f.u.; size of the total moment = 0.04 Bohr magnetons per cell
1.0
-2.388 -0.091 -3.786
-2.144 -3.198 1.429
-2.574 3.595 4.185
La Y Al Ge
1 1 1 1
direct
0.855 0.500 0.710
0.137 0.000 0.274
0.432 0.000 0.864
0.576 0.500 0.153



Li2AlGe, optimized geometry, DFT PBE-GGA; DFT formation energy = -0.9 eV/f.u.; size of the total moment = 0.00 Bohr magnetons per cell
1.0
6.141 0.720 0.000
-1.645 2.352 0.000
0.000 0.000 4.065
Li Al Ge
2 1 1
direct
0.011 0.014 0.000
0.489 0.486 0.000
0.750 0.250 0.500
0.250 0.750 0.500



Li2AlGe, optimized geometry, DFT PBE-GGA; DFT formation energy = -1.0 eV/f.u.; size of the total moment = 0.00 Bohr magnetons per cell
1.0
4.191 0.000 0.000
0.000 3.870 0.000
0.000 0.000 3.870
Ge Al Li
1 1 2
direct
0.500 0.000 0.000
0.500 0.500 0.500
0.000 0.000 0.500
0.000 0.500 0.000



Li2AlGe, optimized geometry, DFT PBE-GGA; DFT formation energy = 0.4 eV/f.u.; size of the total moment = 0.00 Bohr magnetons per cell
1.0
-4.167 -1.941 5.790
-1.640 -6.397 -3.324
-0.787 -5.305 2.376
Ge Al Li
2 2 4
direct
0.000 0.000 0.000
0.750 0.250 0.500
0.500 0.500 0.000
0.250 0.750 0.500
0.640 0.125 0.250
0.110 0.625 0.250
0.375 0.360 0.750
0.875 0.890 0.750



LiAl2Ge, optimized geometry, DFT PBE-GGA; DFT formation energy = 0.2 eV/f.u.; size of the total moment = 0.00 Bohr magnetons per cell
1.0
-3.593 2.209 1.168
-1.271 0.053 4.187
0.933 4.525 2.513
Li Al Ge
1 2 1
direct
0.487 0.487 0.540
0.067 0.067 0.799
0.267 0.267 0.200
0.680 0.680 0.960



Li2Al2Ge, optimized geometry, DFT PBE-GGA; DFT formation energy = 0.4 eV/f.u.; ΔE to the lowest computed polymorph = 60 meV/atom; size of the total moment = 0.00 Bohr magnetons per cell
1.0
-1.206 2.158 2.705
-2.842 -2.252 0.530
1.607 -3.583 6.056
Ge Al Li
1 2 2
direct
0.000 0.000 0.000
0.406 0.406 0.188
0.594 0.594 0.812
0.750 0.250 0.500
0.250 0.750 0.500



Li2AlGe, optimized geometry, DFT PBE-GGA; DFT formation energy = -0.7 eV/f.u.; size of the total moment = 0.00 Bohr magnetons per cell
1.0
3.147 0.000 0.000
0.000 3.147 0.000
0.000 0.000 6.271
Ge Al Li
1 1 2
direct
0.500 0.500 0.000
0.500 0.500 0.500
0.000 0.000 0.757
0.000 0.000 0.243



Li2AlGe, optimized geometry, DFT PBE-GGA; DFT formation energy = -0.7 eV/f.u.; size of the total moment = 0.00 Bohr magnetons per cell
1.0
4.332 -0.705 0.627
1.396 -3.844 1.713
2.165 -2.908 -2.552
Ge Al Li
1 1 2
direct
0.500 0.500 0.500
0.000 0.000 0.000
0.250 0.250 0.250
0.750 0.750 0.750



Li2AlGe, optimized geometry, DFT PBE-GGA; DFT formation energy = 0.0 eV/f.u.; size of the total moment = 0.00 Bohr magnetons per cell
1.0
-2.124 1.820 -0.743
-0.655 0.397 -2.791
-7.300 -6.513 -0.716
Ge Al Li
1 1 2
direct
0.500 0.500 0.500
0.000 0.000 0.000
0.093 0.093 0.720
0.907 0.907 0.280



Li6AlGe2, optimized geometry, DFT PBE-GGA; DFT formation energy = -2.4 eV/f.u.; size of the total moment = 0.00 Bohr magnetons per cell
1.0
3.938 0.000 0.208
0.000 8.483 0.000
-0.448 0.000 8.472
Li Al Ge
12 2 4
direct
0.000 0.989 0.181
0.000 0.681 0.490
0.000 0.668 0.833
0.500 0.168 0.667
0.500 0.181 0.010
0.500 0.489 0.319
0.000 0.011 0.819
0.000 0.319 0.510
0.000 0.332 0.167
0.500 0.832 0.333
0.500 0.819 0.990
0.500 0.511 0.681
0.500 0.500 0.000
0.000 0.000 0.500
0.000 0.341 0.840
0.500 0.841 0.660
0.500 0.159 0.340
0.000 0.659 0.160